Cs3Li2DyBr9 PBE relaxed; space-group type = No. 164; total energy = -50.2 eV/f.u.; formation energy from raw total energies = -1.61 eV per atom; theoretical density = 4.1 g/cm³
1.0
-1.630 -4.432 -6.249
7.236 0.033 2.997
-2.404 -7.413 5.884
Cs Br Li Dy
3 9 2 1
direct
0.667 0.333 0.326
0.333 0.667 0.674
0.000 0.000 0.000
0.500 0.500 0.000
0.832 0.664 0.666
0.500 0.000 0.000
0.168 0.832 0.334
0.832 0.168 0.666
0.336 0.168 0.666
0.168 0.336 0.334
0.664 0.832 0.334
0.000 0.500 0.000
0.667 0.333 0.855
0.333 0.667 0.145
0.000 0.000 0.500

---

Cs2LiDyBr6 PBE relaxed; space-group type = No. 166; total energy = -36.5 eV/f.u.; formation energy from raw total energies = -1.82 eV per atom; theoretical density = 4.2 g/cm³
1.0
7.938 0.000 0.000
3.969 6.875 0.000
3.969 2.292 13.206
Br Li Cs Dy
12 2 4 2
direct
0.618 0.136 0.628
0.290 0.794 0.122
0.864 0.382 0.372
0.206 0.206 0.878
0.618 0.618 0.628
0.206 0.710 0.878
0.710 0.206 0.878
0.794 0.290 0.122
0.794 0.794 0.122
0.136 0.618 0.628
0.382 0.382 0.372
0.382 0.864 0.372
0.500 0.500 0.500
0.000 0.000 0.000
0.874 0.874 0.377
0.709 0.709 0.872
0.126 0.126 0.623
0.291 0.291 0.128
0.586 0.586 0.241
0.414 0.414 0.759

---

CsLiDy2Br8 PBE relaxed; space-group type = No. 147; total energy = -46.6 eV/f.u.; formation energy from raw total energies = -1.77 eV per atom; theoretical density = 4.3 g/cm³
1.0
-2.159 -6.872 1.234
5.337 2.934 4.040
-6.190 3.020 5.984
Br Cs Li Dy
8 1 1 2
direct
0.295 0.936 0.145
0.360 0.295 0.855
0.064 0.360 0.145
0.667 0.333 0.389
0.936 0.640 0.855
0.640 0.705 0.145
0.333 0.667 0.611
0.705 0.064 0.855
0.000 0.000 0.500
0.000 0.000 0.000
0.667 0.333 0.090
0.333 0.667 0.910

---

CsDyMgBr6 PBE relaxed; space-group type = No. 149; total energy = -32.9 eV/f.u.; formation energy from raw total energies = -1.75 eV per atom; theoretical density = 3.6 g/cm³
1.0
-1.486 -7.009 0.633
5.295 -4.851 -0.404
1.075 0.501 8.086
Dy Br Mg Cs
1 6 1 1
direct
0.333 0.333 0.500
0.629 0.989 0.305
0.382 0.990 0.695
0.990 0.382 0.305
0.628 0.382 0.695
0.382 0.629 0.305
0.989 0.629 0.695
0.667 0.667 0.500
0.000 0.000 0.000

---

Cs3Na2DyBr9 PBE relaxed; space-group type = No. 164; total energy = -49.1 eV/f.u.; formation energy from raw total energies = -1.62 eV per atom; theoretical density = 3.8 g/cm³
1.0
8.024 0.000 0.000
-4.012 6.949 0.000
0.000 0.000 10.279
Br Dy Na Cs
9 1 2 3
direct
0.500 0.500 0.000
0.000 0.500 0.000
0.837 0.673 0.658
0.673 0.837 0.342
0.837 0.163 0.658
0.327 0.163 0.658
0.163 0.327 0.342
0.500 0.000 0.000
0.163 0.837 0.342
0.000 0.000 0.500
0.333 0.667 0.171
0.667 0.333 0.829
0.000 0.000 0.000
0.667 0.333 0.326
0.333 0.667 0.674

---

CsNaDyBr5 PBE relaxed; space-group type = No. 15; total energy = -29.4 eV/f.u.; formation energy from raw total energies = -1.78 eV per atom; theoretical density = 3.6 g/cm³
1.0
8.338 -0.208 0.022
-2.632 7.914 0.022
-2.338 -3.159 10.171
Br Na Cs Dy
10 2 2 2
direct
0.756 0.646 0.434
0.900 0.284 0.081
0.940 0.060 0.750
0.244 0.354 0.566
0.646 0.756 0.934
0.284 0.900 0.581
0.100 0.716 0.919
0.060 0.940 0.250
0.716 0.100 0.419
0.354 0.244 0.066
0.313 0.687 0.750
0.687 0.313 0.250
0.336 0.664 0.250
0.664 0.336 0.750
0.000 0.000 0.500
0.000 0.000 0.000

---

CsNa2DyBr6 PBE relaxed; space-group type = No. 146; total energy = -35.5 eV/f.u.; formation energy from raw total energies = -1.74 eV per atom; theoretical density = 3.7 g/cm³
1.0
7.695 0.000 -0.001
3.847 6.665 -0.001
3.847 2.221 7.102
Br Cs Na Dy
6 1 2 1
direct
0.319 0.729 0.756
0.944 0.571 0.224
0.729 0.196 0.756
0.196 0.319 0.756
0.571 0.261 0.224
0.261 0.944 0.224
0.794 0.794 0.618
0.000 0.000 0.001
0.521 0.521 0.437
0.328 0.328 0.017

---

Cs3Na2DyBr8 PBE relaxed; space-group type = No. 164; total energy = -47.2 eV/f.u.; formation energy from raw total energies = -1.72 eV per atom; theoretical density = 3.5 g/cm³
1.0
8.019 0.000 0.000
-4.009 6.944 0.000
0.000 0.000 10.757
Br Na Cs Dy
8 2 3 1
direct
0.323 0.162 0.655
0.838 0.162 0.655
0.333 0.667 0.941
0.838 0.677 0.655
0.162 0.323 0.345
0.667 0.333 0.059
0.677 0.838 0.345
0.162 0.838 0.345
0.333 0.667 0.191
0.667 0.333 0.809
0.000 0.000 0.000
0.667 0.333 0.375
0.333 0.667 0.625
0.000 0.000 0.500

---

Cs2DyPbBr6 PBE relaxed; space-group type = No. 2; total energy = -35.4 eV/f.u.; formation energy from raw total energies = -1.54 eV per atom; theoretical density = 4.3 g/cm³
1.0
-5.203 -6.810 0.281
1.912 -4.097 8.533
-4.996 -1.653 6.384
Br Cs Dy Pb
6 2 1 1
direct
0.315 0.228 0.106
0.339 0.313 0.512
0.816 0.319 0.994
0.661 0.687 0.488
0.184 0.681 0.006
0.685 0.772 0.894
0.215 0.720 0.501
0.785 0.280 0.499
0.500 0.500 0.000
0.000 0.000 0.000

---

CsDyPb2Br8 PBE relaxed; space-group type = No. 2; total energy = -42.5 eV/f.u.; formation energy from raw total energies = -1.35 eV per atom; theoretical density = 4.6 g/cm³
1.0
-1.822 -0.704 6.988
4.186 -5.542 0.837
7.674 4.823 3.293
Br Pb Dy Cs
8 2 1 1
direct
0.819 0.223 0.195
0.181 0.777 0.805
0.685 0.769 0.001
0.868 0.266 0.783
0.400 0.261 0.534
0.132 0.734 0.217
0.315 0.231 0.999
0.600 0.739 0.466
0.502 0.518 0.251
0.498 0.482 0.749
0.000 0.000 0.000
0.000 0.000 0.500

---

CsDySn2Br8 PBE relaxed; space-group type = No. 2; total energy = -42.2 eV/f.u.; formation energy from raw total energies = -1.28 eV per atom; theoretical density = 3.9 g/cm³
1.0
7.350 0.198 0.434
0.252 6.868 0.244
0.563 0.341 9.849
Br Sn Dy Cs
8 2 1 1
direct
0.319 0.223 0.968
0.681 0.777 0.032
0.393 0.263 0.554
0.607 0.737 0.446
0.855 0.252 0.203
0.159 0.758 0.199
0.841 0.242 0.801
0.145 0.748 0.797
0.478 0.474 0.754
0.522 0.526 0.246
0.000 0.000 0.000
0.000 0.000 0.500

---

CsDySnBr6 PBE relaxed; space-group type = No. 149; total energy = -33.3 eV/f.u.; formation energy from raw total energies = -1.53 eV per atom; theoretical density = 3.7 g/cm³
1.0
-2.262 -5.395 4.899
4.379 -1.799 5.984
-3.713 5.533 4.379
Sn Cs Dy Br
1 1 1 6
direct
0.667 0.667 0.500
0.000 0.000 0.000
0.333 0.333 0.500
0.615 0.366 0.707
0.366 0.615 0.293
0.366 0.018 0.707
0.615 0.018 0.293
0.018 0.366 0.293
0.018 0.616 0.707